No. 1
Below is a relaxed structure of HgIr2Br, with properties calculated at the GGA-PBE level.

Values from the calculation:
Excess energy over the best structure of this formula in the dataset ... 438 meV per atom
Crystal system ... orthorhombic
Formation energy from raw total energies ... 860 meV per atom

Lattice parameters (Å, degrees): 2.895 5.272 9.284 90.00 90.00 90.00
Space group Cmmm (No. 65)
One atom of each set of equivalent atoms:
1 Hg 0.000 0.000 0.000
2 Ir 0.000 0.500 0.258
3 Br 0.000 0.000 0.500


No. 2
Below is a relaxed structure of LaFeMo2, with properties calculated at the GGA-PBE level.

Values from the calculation:
Excess energy over the best structure of this formula in the dataset ... 54 meV per atom
Crystal system ... monoclinic

Lattice parameters (Å, degrees): 8.881 3.312 5.897 90.00 110.15 90.00
Space group Cm (No. 8)
One atom of each set of equivalent atoms:
1 La 0.000 0.000 0.000
2 Fe 0.246 0.000 0.648
3 Mo 0.030 0.500 0.530
4 Mo 0.300 0.500 0.365


No. 3
Below is a relaxed structure of LiAc2Ge5, with properties calculated at the GGA-PBE level.

Values from the calculation:
Crystal system ... tetragonal
E_tot ... -74.2 eV/cell

Lattice parameters (Å, degrees): 6.578 6.578 9.288 90.00 90.00 90.00
Space group I4mm (No. 107)
One atom of each set of equivalent atoms:
1 Li 0.000 0.000 0.000
2 Ac 0.000 0.500 0.249
3 Ge 0.000 0.000 0.691
4 Ge 0.207 0.207 0.492


No. 4
Below is a relaxed structure of MnBeIn2, with properties calculated at the GGA-PBE level.

Values from the calculation:
Crystal system ... monoclinic
E_tot ... -17.0 eV/cell

Lattice parameters (Å, degrees): 3.501 4.015 5.239 90.00 106.49 90.00
Space group Pm (No. 6)
One atom of each set of equivalent atoms:
1 Mn 0.000 0.000 0.000
2 Be 0.871 0.500 0.747
3 In 0.306 0.000 0.566
4 In 0.572 0.500 0.175